First-principles (GGA-PBE) data for crystalline LaSi3Ag at its relaxed geometry, as listed in Alexandria.

Computed properties:
V in Å³ per atom: 33.70
E_tot in eV for the cell shown: -16.82
Raw formation energy in eV/atom: 1.445
E above lowest polymorph in eV/atom: 1.039

Unit cell a=5.523 b=5.523 c=5.523 alpha=90.00 beta=90.00 gamma=90.00
Space group Pm-3m (No. 221)
Asymmetric unit:
La 0.000 0.000 0.000 (multiplicity 1)
Si 0.000 0.000 0.500 (multiplicity 3)
Ag 0.500 0.500 0.500 (multiplicity 1)